# 1
Below is a relaxed structure of NbReAsO, with properties calculated at the PBE level.

POSCAR file:
```
NbReAsO
1.0
4.223 0.000 0.000
0.000 5.698 0.000
0.000 0.000 5.246
As Nb Re O
2 2 2 2
Direct
0.000 0.684 0.898 As
0.000 0.316 0.398 As
0.000 0.185 0.893 Nb
0.000 0.815 0.393 Nb
0.500 0.094 0.551 Re
0.500 0.906 0.051 Re
0.500 0.241 0.913 O
0.500 0.759 0.413 O
```

Properties
Final energy   -69.36 eV per cell
Distance to the lowest polymorph of the same formula   0.00 eV per formula unit

# 2
Below is a relaxed structure of NbReAsO, with properties calculated at the PBE level.

POSCAR file:
```
NbReAsO
1.0
3.782 0.000 0.000
0.000 3.782 0.000
0.000 0.000 7.782
Nb As O Re
2 2 2 2
Direct
0.250 0.250 0.165 Nb
0.750 0.750 0.835 Nb
0.750 0.750 0.279 As
0.250 0.250 0.721 As
0.750 0.250 0.000 O
0.250 0.750 0.000 O
0.250 0.750 0.500 Re
0.750 0.250 0.500 Re
```

Properties
Final energy   -68.22 eV per cell
Distance to the lowest polymorph of the same formula   0.57 eV per formula unit

# 3
Below is a relaxed structure of NbReAsO, with properties calculated at the PBE level.

POSCAR file:
```
NbReAsO
1.0
3.845 0.000 0.000
0.000 3.845 0.000
0.000 0.000 7.384
O As Re Nb
2 2 2 2
Direct
0.500 0.500 0.000 O
0.000 0.000 0.000 O
0.500 0.000 0.760 As
0.000 0.500 0.240 As
0.500 0.000 0.168 Re
0.000 0.500 0.832 Re
0.000 0.000 0.500 Nb
0.500 0.500 0.500 Nb
```

Properties
Final energy   -64.08 eV per cell
Distance to the lowest polymorph of the same formula   2.64 eV per formula unit

# 4
Below is a relaxed structure of NbReAsO, with properties calculated at the PBE level.

POSCAR file:
```
NbReAsO
1.0
-0.800 2.328 -2.618
-3.975 1.528 2.574
3.950 4.927 3.175
As Re Nb O
2 2 2 2
Direct
0.000 0.720 0.823 As
0.000 0.280 0.323 As
0.000 0.721 0.480 Re
0.000 0.279 0.980 Re
0.500 0.135 0.575 Nb
0.500 0.865 0.075 Nb
0.500 0.193 0.876 O
0.500 0.807 0.376 O
```

Properties
Final energy   -66.72 eV per cell
Distance to the lowest polymorph of the same formula   1.32 eV per formula unit

# 5
Below is a relaxed structure of ScNbAsO, with properties calculated at the PBE level.

POSCAR file:
```
ScNbAsO
1.0
-1.388 -3.228 -1.153
2.071 0.201 -3.058
6.419 -4.214 4.070
O Sc As Nb
2 2 2 2
Direct
0.250 0.750 0.000 O
0.750 0.250 0.000 O
0.750 0.250 0.500 Sc
0.250 0.750 0.500 Sc
0.250 0.250 0.730 As
0.750 0.750 0.270 As
0.250 0.250 0.145 Nb
0.750 0.750 0.855 Nb
```

Properties
Final energy   -60.17 eV per cell
Distance to the lowest polymorph of the same formula   2.81 eV per formula unit

# 6
Below is a relaxed structure of ScNbAsO, with properties calculated at the PBE level.

POSCAR file:
```
ScNbAsO
1.0
3.861 0.000 0.000
0.000 3.861 0.000
0.000 0.000 8.664
Sc Nb As O
2 2 2 2
Direct
0.250 0.250 0.108 Sc
0.750 0.750 0.892 Sc
0.750 0.250 0.500 Nb
0.250 0.750 0.500 Nb
0.250 0.250 0.713 As
0.750 0.750 0.287 As
0.250 0.750 0.000 O
0.750 0.250 0.000 O
```

Properties
Final energy   -65.78 eV per cell
Distance to the lowest polymorph of the same formula   0.00 eV per formula unit

# 7
Below is a relaxed structure of ScNbAsO, with properties calculated at the PBE level.

POSCAR file:
```
ScNbAsO
1.0
-2.896 -1.145 2.685
3.528 -0.663 3.523
-0.682 5.947 1.802
Sc O As Nb
2 2 2 2
Direct
0.500 0.711 0.604 Sc
0.500 0.289 0.104 Sc
0.500 0.089 0.423 O
0.500 0.911 0.923 O
0.000 0.387 0.792 As
0.000 0.613 0.292 As
0.000 0.109 0.436 Nb
0.000 0.891 0.936 Nb
```

Properties
Final energy   -64.85 eV per cell
Distance to the lowest polymorph of the same formula   0.46 eV per formula unit

# 8
Below is a relaxed structure of ScNbAsO, with properties calculated at the PBE level.

POSCAR file:
```
ScNbAsO
1.0
3.561 0.000 0.000
0.000 6.010 0.000
0.000 0.000 6.365
Sc As Nb O
2 2 2 2
Direct
0.000 0.623 0.426 Sc
0.000 0.377 0.926 Sc
0.000 0.805 0.820 As
0.000 0.195 0.320 As
0.500 0.927 0.103 Nb
0.500 0.073 0.603 Nb
0.500 0.226 0.905 O
0.500 0.774 0.405 O
```

Properties
Final energy   -64.38 eV per cell
Distance to the lowest polymorph of the same formula   0.70 eV per formula unit

# 9
Below is a relaxed structure of NbSnAsO, with properties calculated at the PBE level.

POSCAR file:
```
NbSnAsO
1.0
-1.003 2.162 3.316
-3.958 -0.547 -0.841
-0.004 -7.841 5.111
Nb Sn O As
2 2 2 2
Direct
0.000 0.000 0.500 Nb
0.500 0.500 0.500 Nb
0.000 0.500 0.886 Sn
0.500 0.000 0.114 Sn
0.000 0.000 0.000 O
0.500 0.500 0.000 O
0.000 0.500 0.323 As
0.500 0.000 0.677 As
```

Properties
Final energy   -51.77 eV per cell
Distance to the lowest polymorph of the same formula   1.40 eV per formula unit

# 10
Below is a relaxed structure of NbSnAsO, with properties calculated at the PBE level.

POSCAR file:
```
NbSnAsO
1.0
-1.296 -3.168 -0.002
0.084 -0.039 6.677
-6.955 2.844 0.104
As Sn Nb O
2 2 2 2
Direct
0.000 0.336 0.427 As
0.000 0.664 0.927 As
0.000 0.701 0.568 Sn
0.000 0.299 0.068 Sn
0.500 0.946 0.003 Nb
0.500 0.054 0.503 Nb
0.500 0.932 0.255 O
0.500 0.068 0.755 O
```

Properties
Final energy   -54.56 eV per cell
Distance to the lowest polymorph of the same formula   0.00 eV per formula unit

# 11
Below is a relaxed structure of NbSnAsO, with properties calculated at the PBE level.

POSCAR file:
```
NbSnAsO
1.0
-0.673 4.074 -0.204
-0.483 0.126 4.104
8.840 1.511 0.994
Sn Nb As O
2 2 2 2
Direct
0.750 0.250 0.500 Sn
0.250 0.750 0.500 Sn
0.750 0.750 0.934 Nb
0.250 0.250 0.066 Nb
0.750 0.750 0.235 As
0.250 0.250 0.765 As
0.250 0.750 0.000 O
0.750 0.250 0.000 O
```

Properties
Final energy   -50.90 eV per cell
Distance to the lowest polymorph of the same formula   1.83 eV per formula unit

# 12
Below is a relaxed structure of NbSnAsO, with properties calculated at the PBE level.

POSCAR file:
```
NbSnAsO
1.0
-3.242 -1.754 1.169
4.395 -5.321 4.204
-0.196 3.187 4.239
Sn O Nb As
2 2 2 2
Direct
0.500 0.571 0.465 Sn
0.500 0.429 0.965 Sn
0.500 0.174 0.431 O
0.500 0.826 0.931 O
0.000 0.869 0.930 Nb
0.000 0.131 0.430 Nb
0.000 0.189 0.928 As
0.000 0.811 0.428 As
```

Properties
Final energy   -53.87 eV per cell
Distance to the lowest polymorph of the same formula   0.34 eV per formula unit

Which formula does entry 6 have?
ScNbAsO